Record 1
Material: K2MoW3O12
Method: DFT, PBE+U
State: relaxed

Geometry as extended XYZ:
```
18
Lattice="-7.207 -1.828 -0.422 -2.912 -2.356 -6.436 -2.034 -7.116 -0.827" Properties=species:S:1:pos:R:3 pbc="T T T"
K -7.903 -7.348 -4.997
K -4.250 -3.951 -2.687
Mo 0.000 0.000 0.000
W -3.603 -0.914 -0.211
W -1.456 -1.178 -3.218
W -1.017 -3.558 -0.413
O -5.056 -7.997 -2.907
O -10.138 -6.222 -6.693
O -6.966 -9.466 -6.941
O -8.320 -4.661 -2.652
O -9.600 -9.141 -3.252
O -5.610 -4.995 -6.446
O -7.096 -3.302 -4.777
O -2.014 -5.077 -0.992
O -5.187 -1.834 -0.744
O -3.833 -6.638 -5.032
O -2.553 -2.158 -4.432
O -6.542 -6.305 -1.238
```

Summary:
V, Å³ per cell: 290
Magnetic moment, μB/f.u.: 2.0
Mass density, g/cm³: 5.26
Uncorrected energy, eV/atom: -7.0231


Record 2
Material: Li4Ti3Mn2Cu3O16
Method: DFT, PBE+U
State: relaxed

Geometry as extended XYZ:
```
28
Lattice="-0.016 4.373 4.136 -4.002 -0.218 -4.359 -5.590 -5.593 5.422" Properties=species:S:1:pos:R:3 pbc="T T T"
Li -7.654 -3.725 3.398
Li -9.432 -1.428 5.129
Li -2.806 1.594 6.773
Li -3.694 0.581 3.445
Ti -4.571 -0.533 -1.845
Ti -2.601 -0.616 0.341
Ti -4.722 -2.533 4.487
Mn -5.468 -1.364 1.046
Mn -6.769 -2.625 6.690
Cu -4.514 1.526 0.239
Cu -6.632 -0.417 4.472
Cu -4.605 -0.455 6.553
O -6.697 -2.808 0.307
O -3.912 -1.854 -0.207
O -3.279 0.700 -0.938
O -5.678 2.430 1.426
O -4.464 -0.119 8.375
O -4.758 -2.338 2.590
O -5.910 -0.304 -0.495
O -4.099 0.073 1.493
O -1.320 0.842 1.204
O -6.743 -0.532 2.173
O -6.698 -2.446 4.709
O -4.910 -2.864 6.422
O -4.745 -0.553 4.707
O -3.099 3.205 1.269
O -6.471 -0.734 6.740
O -1.146 3.070 3.305
```

Summary:
V, Å³ per cell: 289
Magnetic moment, μB/f.u.: 7.0
Mass density, g/cm³: 4.18
Uncorrected energy, eV/atom: -6.7239